Density functional theory data (PBE) for an optimized crystal structure of CuP2Os.

```
4
Lattice="4.064 -0.004 -0.003 2.939 2.807 -0.003 0.078 0.031 5.294" Properties=species:S:1:pos:R:3 pbc="T T T"
P 5.137 2.057 2.809
P 0.167 0.067 0.251
Cu 3.174 1.271 3.770
Os 2.143 0.858 1.103
```

Values from the calculation:
- VASP energy: -6.585 eV per atom
- ΔE_f: -48 meV per atom
- Mass density: 8672 kg/m³
- Relative energy among the computed polymorphs: 0.0 meV/atom


Density functional theory data (PBE) for an optimized crystal structure of Cu3POs.

```
5
Lattice="4.223 0.000 0.000 0.000 4.223 0.000 0.000 0.000 4.223" Properties=species:S:1:pos:R:3 pbc="T T T"
Cu 0.000 2.111 0.000
Cu 2.111 0.000 0.000
Cu 0.000 0.000 2.111
P 0.000 0.000 0.000
Os 2.111 2.111 2.111
```

Values from the calculation:
- VASP energy: -4.827 eV per atom
- ΔE_f: 958 meV per atom
- Mass density: 9082 kg/m³
- Relative energy among the computed polymorphs: 0.0 meV/atom


Density functional theory data (PBE) for an optimized crystal structure of CuPOs2.

```
4
Lattice="-1.343 -1.358 -2.055 -2.433 -2.410 3.182 -2.976 2.976 -0.022" Properties=species:S:1:pos:R:3 pbc="T T T"
P -2.159 0.809 -1.039
Os 0.000 0.000 0.000
Os -1.888 -1.884 0.563
Cu -2.705 0.283 1.580
```

Values from the calculation:
- VASP energy: -7.421 eV per atom
- ΔE_f: 570 meV per atom
- Mass density: 14289 kg/m³


Density functional theory data (PBE) for an optimized crystal structure of CuPOs2.

```
4
Lattice="-2.905 -2.216 1.851 -3.146 -2.438 -0.967 2.221 -4.533 0.168" Properties=species:S:1:pos:R:3 pbc="T T T"
P -0.957 -2.297 0.263
Cu -2.872 -6.891 0.789
Os -5.941 -4.701 0.879
Os -2.024 -4.548 0.532
```

Values from the calculation:
- VASP energy: -7.743 eV per atom
- ΔE_f: 248 meV per atom
- Mass density: 14625 kg/m³


Density functional theory data (PBE) for an optimized crystal structure of CuPOs2.

```
4
Lattice="-2.685 0.641 -0.914 -1.021 -2.371 1.338 -0.956 3.304 5.124" Properties=species:S:1:pos:R:3 pbc="T T T"
Os -0.025 0.087 0.134
Os -0.453 1.565 2.428
P -2.092 -0.039 1.493
Cu -2.570 1.613 4.055
```

Values from the calculation:
- VASP energy: -7.764 eV per atom
- ΔE_f: 227 meV per atom
- Mass density: 15117 kg/m³


Density functional theory data (PBE) for an optimized crystal structure of CuPOs2.

```
4
Lattice="8.040 0.000 0.000 7.545 2.777 0.000 7.545 1.344 2.430" Properties=species:S:1:pos:R:3 pbc="T T T"
Os 11.769 2.097 1.236
Os 22.926 4.085 2.408
Cu 17.347 3.091 1.822
P 5.782 1.030 0.607
```

Values from the calculation:
- VASP energy: -7.799 eV per atom
- ΔE_f: 192 meV per atom
- Mass density: 14532 kg/m³


Density functional theory data (PBE) for an optimized crystal structure of CuPOs2.

```
8
Lattice="3.687 0.000 0.000 0.000 3.687 0.000 1.843 1.843 8.643" Properties=species:S:1:pos:R:3 pbc="T T T"
Os 4.608 4.628 6.482
Os 2.784 0.922 2.161
Os 0.903 2.765 2.161
Os 2.765 2.746 6.482
P 1.843 1.843 0.000
P 1.843 3.687 4.322
Cu 0.000 0.000 0.000
Cu 3.687 1.843 4.322
```

Values from the calculation:
- VASP energy: -7.311 eV per atom
- ΔE_f: 681 meV per atom
- Mass density: 13427 kg/m³


Density functional theory data (PBE) for an optimized crystal structure of CuPOs3.

```
5
Lattice="-2.996 -3.150 -0.902 1.514 -0.246 -4.166 2.906 -3.119 1.240" Properties=species:S:1:pos:R:3 pbc="T T T"
Cu 0.000 0.000 0.000
Os -1.498 -1.575 -0.451
Os 1.453 -1.560 0.620
Os 0.757 -0.123 -2.083
P 0.712 -3.258 -1.914
```

Values from the calculation:
- VASP energy: -6.281 eV per atom
- ΔE_f: 2358 meV per atom
- Mass density: 12623 kg/m³
- Relative energy among the computed polymorphs: 1264.1 meV/atom